No. 1
SbW2 | GGA-PBE | relaxed

Values from the calculation:
space-group type	C2/m, No. 12

a = 5.8940 Å, b = 5.8940 Å, c = 6.1839 Å
α = 101.78°, β = 101.78°, γ = 31.25°
Element x y z (fractional)
1 Sb 0.1456 0.1456 0.0620
2 Sb 0.8544 0.8544 0.9380
3 W 0.1854 0.1854 0.6195
4 W 0.4778 0.4778 0.6856
5 W 0.5222 0.5222 0.3144
6 W 0.8146 0.8146 0.3805

No. 2
SbW | GGA-PBE | relaxed

Values from the calculation:
space-group type	P4_2/mnm, No. 136

a = 5.9910 Å, b = 5.9910 Å, c = 5.3708 Å
α = 90.00°, β = 90.00°, γ = 90.00°
Element x y z (fractional)
1 Sb 0.2061 0.2061 0.0000
2 Sb 0.2939 0.7061 0.5000
3 Sb 0.7061 0.2939 0.5000
4 Sb 0.7939 0.7939 0.0000
5 W 0.1416 0.1416 0.5000
6 W 0.3584 0.6416 0.0000
7 W 0.6416 0.3584 0.0000
8 W 0.8584 0.8584 0.5000

Energy relative to the elements, uncorrected values (in meV/atom) by entry order: 459.4, 973.2.